(one)
Density functional theory data (PBE-GGA) for an optimized crystal structure of BiSbF.

Values from the calculation:
- Theoretical density: 7.183 g/cm3

a = 4.6230 Å, b = 6.1644 Å, c = 6.6674 Å
α = 67.52°, β = 89.88°, γ = 68.85°
Space group P-1 (No. 2)
Inequivalent atoms, fractional coordinates:
Bi  0.1733  0.1696  0.1682 x2
Sb  0.3991  0.6902  0.5830 x2
F  0.2842  0.9317  0.9224 x2

(two)
Density functional theory data (PBE-GGA) for an optimized crystal structure of BiSbF.

Values from the calculation:
- Theoretical density: 7.173 g/cm3

a = 5.0533 Å, b = 5.0902 Å, c = 6.6161 Å
α = 93.91°, β = 90.15°, γ = 107.46°
Space group P-1 (No. 2)
Inequivalent atoms, fractional coordinates:
Bi  0.1499  0.3507  0.1562 x2
Sb  0.2743  0.2318  0.7235 x2
F  0.4949  0.9480  0.7291 x2

Which structure is most stable? (one), by 0.074 eV/atom over the runner-up.